Entry 1:
A relaxed structure of YPCl2F. Source: Alexandria, functional GGA-PBE.

Summary:
formation energy (no corrections) = -4.4 eV/f.u.
D(E_F) = 0.99 states/eV/atom
crystal system = tetragonal
space-group type = No. 123
relative energy among the computed polymorphs = 0 meV/atom

Cell and atoms, written as POSCAR:
```
YPCl2F
1.0
5.1476 0.0000 0.0000
0.0000 5.1476 0.0000
0.0000 0.0000 5.8344
Y P Cl F
1 1 2 1
Direct
0.0000 0.0000 0.0000
0.0000 0.0000 0.5000
0.0000 0.5000 0.0000
0.5000 0.0000 0.0000
0.5000 0.5000 0.5000
```


Entry 2:
A relaxed structure of YPCl2F. Source: Alexandria, functional GGA-PBE.

Summary:
formation energy (no corrections) = -3.7 eV/f.u.
D(E_F) = 0.47 states/eV/atom
crystal system = tetragonal
space-group type = No. 123
relative energy among the computed polymorphs = 132 meV/atom

Cell and atoms, written as POSCAR:
```
YPCl2F
1.0
5.0973 0.0000 0.0000
0.0000 5.0973 0.0000
0.0000 0.0000 3.7953
Y P Cl F
1 1 2 1
Direct
0.0000 0.0000 0.0000
0.5000 0.5000 0.0000
0.0000 0.5000 0.5000
0.5000 0.0000 0.5000
0.5000 0.5000 0.5000
```


Entry 3:
A relaxed structure of ZnPCl2F. Source: Alexandria, functional GGA-PBE.

Summary:
formation energy (no corrections) = 0.7 eV/f.u.
D(E_F) = 0.69 states/eV/atom
crystal system = tetragonal
space-group type = No. 123
relative energy among the computed polymorphs = 53 meV/atom

Cell and atoms, written as POSCAR:
```
ZnPCl2F
1.0
4.6550 0.0000 0.0000
0.0000 4.6550 0.0000
0.0000 0.0000 4.9576
Zn P Cl F
1 1 2 1
Direct
0.0000 0.0000 0.0000
0.0000 0.0000 0.5000
0.0000 0.5000 0.0000
0.5000 0.0000 0.0000
0.5000 0.5000 0.5000
```


Entry 4:
A relaxed structure of ZnP2ClF. Source: Alexandria, functional GGA-PBE.

Summary:
formation energy (no corrections) = 2.7 eV/f.u.
D(E_F) = 0.91 states/eV/atom
crystal system = tetragonal
space-group type = No. 123
relative energy among the computed polymorphs = 82 meV/atom

Cell and atoms, written as POSCAR:
```
ZnP2ClF
1.0
4.6648 0.0000 0.0000
0.0000 4.6648 0.0000
0.0000 0.0000 4.7556
Zn P Cl F
1 2 1 1
Direct
0.0000 0.0000 0.0000
0.0000 0.5000 0.0000
0.5000 0.0000 0.0000
0.0000 0.0000 0.5000
0.5000 0.5000 0.5000
```